No. 1
Density functional theory data (PBE-GGA) for a geometry-optimized Ag4SF structure.

Properties
V = 21.0 A^3/atom
energy above the most stable polymorph in this dataset = 0.213 eV per atom
uncorrected formation energy = -0.126 eV per atom

Lattice parameters (Å, degrees): 6.8970 6.8970 6.8970 110.31 110.31 107.81
Positions (direct):
Ag 0.2469 0.9548 0.7079
Ag 0.7534 0.4356 0.6822
Ag 0.7048 0.4969 0.2079
Ag 0.1856 0.0034 0.1822
Ag 0.2890 0.4969 0.7921
Ag 0.8211 0.0034 0.8178
Ag 0.7534 0.0711 0.3177
Ag 0.2469 0.5390 0.2921
S 0.7310 0.7310 0.0000
S 0.4810 0.9810 0.5000
F 0.2684 0.2684 0.0000
F 0.0184 0.5184 0.5000

No. 2
Density functional theory data (PBE-GGA) for a geometry-optimized Ag2S6F structure.

Properties
V = 26.1 A^3/atom
uncorrected formation energy = -0.028 eV per atom

Lattice parameters (Å, degrees): 4.0707 8.4659 8.4659 101.15 111.30 111.30
Positions (direct):
Ag 0.5000 0.8875 0.1125
Ag 0.5000 0.1125 0.8875
S 0.0070 0.4041 0.1462
S 0.9930 0.5959 0.8538
S 0.6805 0.6621 0.6621
S 0.0070 0.1462 0.4041
S 0.9930 0.8538 0.5959
S 0.3195 0.3379 0.3379
F 0.0000 0.0000 0.0000

No. 3
Density functional theory data (PBE-GGA) for a geometry-optimized AgS2F structure.

Properties
V = 18.0 A^3/atom
energy above the most stable polymorph in this dataset = 0.151 eV per atom
uncorrected formation energy = -0.208 eV per atom

Lattice parameters (Å, degrees): 3.6645 3.6645 11.0402 80.45 80.45 90.00
Positions (direct):
S 0.7329 0.1250 0.2500
S 0.0171 0.6250 0.2500
S 0.3750 0.2671 0.7500
S 0.8750 0.9829 0.7500
Ag 0.0000 0.0000 0.0000
Ag 0.7500 0.2500 0.5000
F 0.5000 0.5000 0.0000
F 0.2500 0.7500 0.5000

No. 4
Density functional theory data (PBE-GGA) for a geometry-optimized Ag6SF5 structure.

Properties
V = 16.0 A^3/atom
uncorrected formation energy = -0.836 eV per atom

Lattice parameters (Å, degrees): 5.6969 6.9223 6.5592 107.04 98.58 122.70
Positions (direct):
S 0.0000 0.0000 0.0000
Ag 0.1621 0.3954 0.3224
Ag 0.1603 0.9270 0.3224
Ag 0.5201 0.2320 0.0000
Ag 0.4799 0.7680 0.0000
Ag 0.8397 0.0730 0.6776
Ag 0.8379 0.6046 0.6776
F 0.2852 0.7852 0.5704
F 0.6557 0.6557 0.3113
F 0.0000 0.5000 0.0000
F 0.3443 0.3443 0.6887
F 0.7148 0.2148 0.4296

No. 5
Density functional theory data (PBE-GGA) for a geometry-optimized Ag4SF3 structure.

Properties
V = 16.4 A^3/atom
uncorrected formation energy = -0.734 eV per atom

Lattice parameters (Å, degrees): 6.2018 5.9221 7.5047 90.00 90.00 108.06
Positions (direct):
S 0.7500 0.0000 0.8774
S 0.2500 0.0000 0.1226
Ag 0.9870 0.2382 0.6359
Ag 0.4955 0.2581 0.8628
Ag 0.4870 0.2382 0.3641
Ag 0.9955 0.2581 0.1372
Ag 0.0045 0.7419 0.8628
Ag 0.5130 0.7618 0.6359
Ag 0.5045 0.7419 0.1372
Ag 0.0130 0.7618 0.3641
F 0.7500 0.0000 0.3801
F 0.2500 0.0000 0.6199
F 0.7500 0.5000 0.5642
F 0.7500 0.5000 0.1317
F 0.2500 0.5000 0.4358
F 0.2500 0.5000 0.8683

No. 6
Density functional theory data (PBE-GGA) for a geometry-optimized AgS2F structure.

Properties
V = 14.8 A^3/atom
energy above the most stable polymorph in this dataset = 0.624 eV per atom
uncorrected formation energy = 0.265 eV per atom

Lattice parameters (Å, degrees): 4.3746 4.3746 4.3746 60.00 60.00 60.00
Positions (direct):
S 0.2500 0.2500 0.2500
S 0.7500 0.7500 0.7500
Ag 0.5000 0.5000 0.5000
F 0.0000 0.0000 0.0000

No. 7
Density functional theory data (PBE-GGA) for a geometry-optimized Ag6SF3 structure.

Properties
V = 16.3 A^3/atom
uncorrected formation energy = -0.569 eV per atom

Lattice parameters (Å, degrees): 3.1694 9.2446 11.6062 106.09 90.00 90.00
Positions (direct):
Ag 0.7500 0.4483 0.6302
Ag 0.2500 0.5517 0.3698
Ag 0.7500 0.8758 0.0943
Ag 0.2500 0.1242 0.9057
Ag 0.7500 0.4828 0.1449
Ag 0.2500 0.5172 0.8551
Ag 0.7500 0.7764 0.3095
Ag 0.2500 0.2236 0.6905
Ag 0.7500 0.1186 0.4649
Ag 0.2500 0.8814 0.5351
Ag 0.7500 0.7451 0.7746
Ag 0.2500 0.2549 0.2254
S 0.7500 0.0085 0.7212
S 0.2500 0.9915 0.2788
F 0.7500 0.3646 0.9343
F 0.2500 0.6354 0.0657
F 0.7500 0.6531 0.5398
F 0.2500 0.3469 0.4602
F 0.7500 0.1442 0.0694
F 0.2500 0.8558 0.9306

No. 8
Density functional theory data (PBE-GGA) for a geometry-optimized AgS2F structure.

Properties
V = 15.0 A^3/atom
energy above the most stable polymorph in this dataset = 0.637 eV per atom
uncorrected formation energy = 0.278 eV per atom

Lattice parameters (Å, degrees): 8.9152 8.9152 8.9152 18.14 18.14 18.14
Positions (direct):
S 0.9220 0.9220 0.9220
S 0.0780 0.0780 0.0780
Ag 0.5000 0.5000 0.5000
F 0.0000 0.0000 0.0000

No. 9
Density functional theory data (PBE-GGA) for a geometry-optimized Ag4S2F structure.

Properties
V = 19.1 A^3/atom
uncorrected formation energy = -0.284 eV per atom

Lattice parameters (Å, degrees): 3.7066 4.6475 16.9472 89.96 90.10 113.50
Positions (direct):
S 0.0401 0.0817 0.3986
S 0.9583 0.9183 0.8986
S 0.0417 0.0817 0.1014
S 0.9599 0.9183 0.6014
Ag 0.7509 0.5001 0.1336
Ag 0.7491 0.5001 0.3664
Ag 0.2491 0.4999 0.8664
Ag 0.2509 0.4999 0.6336
Ag 0.9671 0.9341 0.7500
Ag 0.0329 0.0659 0.2500
Ag 0.5000 0.0000 0.0000
Ag 0.5000 0.0000 0.5000
F 0.6735 0.3471 0.7500
F 0.3265 0.6529 0.2500

No. 10
Density functional theory data (PBE-GGA) for a geometry-optimized AgS4F structure.

Properties
V = 24.8 A^3/atom
uncorrected formation energy = -0.232 eV per atom

Lattice parameters (Å, degrees): 7.1384 4.4836 13.6926 70.42 102.24 56.60
Positions (direct):
Ag 0.3081 0.0097 0.8827
Ag 0.6919 0.9903 0.1173
S 0.9076 0.2198 0.8976
S 0.6862 0.8094 0.8563
S 0.6796 0.9189 0.5563
S 0.3204 0.0811 0.4437
S 0.0268 0.6092 0.4221
S 0.3138 0.1906 0.1437
S 0.9732 0.3908 0.5779
S 0.0924 0.7802 0.1024
F 0.6894 0.4876 0.1214
F 0.3106 0.5124 0.8786

No. 11
Density functional theory data (PBE-GGA) for a geometry-optimized AgS2F structure.

Properties
V = 19.5 A^3/atom
energy above the most stable polymorph in this dataset = 0.000 eV per atom
uncorrected formation energy = -0.359 eV per atom

Lattice parameters (Å, degrees): 3.6824 3.6118 16.1108 90.00 133.25 90.00
Positions (direct):
Ag 0.0888 0.1004 0.6114
Ag 0.9112 0.6004 0.3886
S 0.6047 0.1186 0.8154
S 0.3953 0.6186 0.1846
S 0.9112 0.0173 0.1208
S 0.0888 0.5172 0.8792
F 0.5095 0.1093 0.4168
F 0.4905 0.6093 0.5832

No. 12
Density functional theory data (PBE-GGA) for a geometry-optimized Ag4SF4 structure.

Properties
V = 16.9 A^3/atom
uncorrected formation energy = -0.862 eV per atom

Lattice parameters (Å, degrees): 3.4830 6.2229 7.6952 74.35 76.92 73.75
Positions (direct):
Ag 0.2922 0.1195 0.2961
Ag 0.7078 0.8805 0.7039
Ag 0.9140 0.3007 0.8713
Ag 0.0860 0.6993 0.1287
S 0.5000 0.0000 0.0000
F 0.6853 0.4391 0.1904
F 0.8716 0.8427 0.4142
F 0.3147 0.5609 0.8096
F 0.1284 0.1573 0.5858

No. 13
Density functional theory data (PBE-GGA) for a geometry-optimized AgSF6 structure.

Properties
V = 13.7 A^3/atom
uncorrected formation energy = -1.324 eV per atom

Lattice parameters (Å, degrees): 4.8389 5.9028 4.8944 52.91 84.05 80.10
Positions (direct):
Ag 0.0000 0.0000 0.0000
S 0.5000 0.5000 0.0000
F 0.7387 0.5373 0.6884
F 0.7387 0.2257 0.3116
F 0.2613 0.7743 0.6884
F 0.2613 0.4627 0.3116
F 0.6433 0.7520 0.0000
F 0.3567 0.2480 0.0000

No. 14
Density functional theory data (PBE-GGA) for a geometry-optimized Ag4SF structure.

Properties
V = 17.8 A^3/atom
energy above the most stable polymorph in this dataset = 0.000 eV per atom
uncorrected formation energy = -0.339 eV per atom

Lattice parameters (Å, degrees): 6.2684 6.9812 6.5125 109.46 58.32 117.25
Positions (direct):
Ag 0.3561 0.9943 0.3617
Ag 0.8689 0.1117 0.9652
Ag 0.8588 0.5087 0.3150
Ag 0.5059 0.3107 0.0663
Ag 0.4941 0.6893 0.9337
Ag 0.1412 0.4913 0.6850
Ag 0.1311 0.8883 0.0348
Ag 0.6439 0.0057 0.6383
S 0.3595 0.2891 0.7273
S 0.6405 0.7109 0.2727
F 0.0009 0.2756 0.3577
F 0.9991 0.7244 0.6423

No. 15
Density functional theory data (PBE-GGA) for a geometry-optimized Ag6S2F structure.

Properties
V = 17.7 A^3/atom
uncorrected formation energy = -0.190 eV per atom

Lattice parameters (Å, degrees): 3.8042 5.5030 9.5037 58.60 78.45 69.78
Positions (direct):
Ag 0.6384 0.7933 0.9299
Ag 0.3616 0.2067 0.0701
Ag 0.0477 0.7215 0.1830
Ag 0.3509 0.8675 0.4308
Ag 0.9523 0.2785 0.8170
Ag 0.6491 0.1325 0.5692
S 0.2739 0.7023 0.7499
S 0.7261 0.2977 0.2501
F 0.0000 0.5000 0.5000

No. 16
Density functional theory data (PBE-GGA) for a geometry-optimized AgSbS16F6 structure.

Properties
V = 25.9 A^3/atom
uncorrected formation energy = -0.701 eV per atom

Lattice parameters (Å, degrees): 10.2548 10.2548 16.3027 79.66 79.66 47.70
Positions (direct):
Ag 0.1696 0.8304 0.7500
Ag 0.8304 0.1696 0.2500
Sb 0.5000 0.5000 0.0000
Sb 0.5000 0.5000 0.5000
S 0.0890 0.2752 0.5841
S 0.9879 0.7146 0.9388
S 0.2974 0.9036 0.1718
S 0.9453 0.3618 0.3344
S 0.0964 0.7026 0.3282
S 0.1013 0.0576 0.8506
S 0.5255 0.2217 0.2599
S 0.8987 0.9424 0.1494
S 0.2217 0.5255 0.7599
S 0.7783 0.4745 0.2401
S 0.9036 0.2974 0.6718
S 0.7026 0.0964 0.8282
S 0.0576 0.1013 0.3506
S 0.9110 0.7248 0.4159
S 0.0121 0.2854 0.0612
S 0.0547 0.6382 0.6656
S 0.7146 0.9879 0.4388
S 0.6382 0.0547 0.1656
S 0.6902 0.0604 0.7111
S 0.9424 0.8987 0.6494
S 0.0604 0.6902 0.2111
S 0.3098 0.9396 0.2889
S 0.2854 0.0121 0.5612
S 0.4978 0.8948 0.6275
S 0.8948 0.4978 0.1275
S 0.7248 0.9110 0.9159
S 0.4745 0.7783 0.7401
S 0.1052 0.5022 0.8725
S 0.5022 0.1052 0.3725
S 0.9396 0.3098 0.7889
S 0.3618 0.9453 0.8344
S 0.2752 0.0890 0.0841
F 0.2584 0.6993 0.4769
F 0.5587 0.6452 0.4641
F 0.7416 0.3007 0.5231
F 0.5670 0.4465 0.1128
F 0.3548 0.4413 0.0359
F 0.4465 0.5670 0.6128
F 0.4330 0.5535 0.8872
F 0.6452 0.5587 0.9641
F 0.6993 0.2584 0.9769
F 0.5535 0.4330 0.3872
F 0.3007 0.7416 0.0231
F 0.4413 0.3548 0.5359

No. 17
Density functional theory data (PBE-GGA) for a geometry-optimized ScAgSF2 structure.

Properties
V = 17.0 A^3/atom
uncorrected formation energy = -2.321 eV per atom

Lattice parameters (Å, degrees): 4.0274 4.0274 5.2391 90.00 90.00 90.00
Positions (direct):
Sc 0.0000 0.0000 0.0000
S 0.0000 0.0000 0.5000
Ag 0.5000 0.5000 0.5000
F 0.0000 0.5000 0.0000
F 0.5000 0.0000 0.0000

No. 18
Density functional theory data (PBE-GGA) for a geometry-optimized Ag2SnS2F2 structure.

Properties
V = 20.1 A^3/atom
uncorrected formation energy = -0.898 eV per atom

Lattice parameters (Å, degrees): 3.6780 7.1774 6.8314 54.71 74.38 75.15
Positions (direct):
Ag 0.2170 0.2654 0.3005
Ag 0.7830 0.7346 0.6995
Sn 0.0000 0.0000 0.0000
S 0.6073 0.1022 0.6832
S 0.3927 0.8978 0.3168
F 0.1283 0.6581 0.0853
F 0.8717 0.3419 0.9147

No. 19
Density functional theory data (PBE-GGA) for a geometry-optimized Ag7TeS2F2 structure.

Properties
V = 21.4 A^3/atom
uncorrected formation energy = -0.311 eV per atom

Lattice parameters (Å, degrees): 4.4010 5.1928 11.7584 102.76 100.79 90.00
Positions (direct):
Ag 0.3846 0.9028 0.7691
Ag 0.7298 0.7496 0.4596
Ag 0.0782 0.4503 0.1565
Ag 0.6154 0.1337 0.2309
Ag 0.2702 0.2900 0.5404
Ag 0.9218 0.2939 0.8435
Ag 0.5000 0.6210 0.0000
Te 0.0000 0.9659 0.0000
S 0.3813 0.4068 0.7625
S 0.6187 0.6443 0.2375
F 0.2748 0.7956 0.5497
F 0.7252 0.2459 0.4503

No. 20
Density functional theory data (PBE-GGA) for a geometry-optimized Ag5TeS4F2 structure.

Properties
V = 20.9 A^3/atom
uncorrected formation energy = -0.297 eV per atom

Lattice parameters (Å, degrees): 5.9219 6.3023 7.6013 90.00 90.00 118.02
Positions (direct):
Ag 0.0640 0.3978 0.2486
Ag 0.3121 0.0000 0.5000
Ag 0.0640 0.3978 0.7514
Ag 0.6662 0.6022 0.7514
Ag 0.6662 0.6022 0.2486
Te 0.5355 0.0000 0.0000
S 0.6765 0.0000 0.3192
S 0.6765 0.0000 0.6808
S 0.4205 0.3262 0.0000
S 0.0943 0.6738 0.0000
F 0.9323 0.6347 0.5000
F 0.2976 0.3653 0.5000